No. 1
Crystalline AlInSb2 at its relaxed geometry, computed with PBE.

Cell and atoms, written as POSCAR:
```
AlInSb2
1.0
3.439 0.000 0.000
0.000 3.439 0.000
0.000 0.000 8.596
Al In Sb
1 1 2
Direct
0.000 0.000 0.000
0.000 0.000 0.500
0.500 0.500 0.216
0.500 0.500 0.784
```

ΔE_f (raw) = 0.143 eV per atom
energy above the lowest structure with this stoichiometry = 0.284 eV/atom
space-group type = P4/mmm
ρ = 6.29 Mg/m³


No. 2
Crystalline AlInSb2 at its relaxed geometry, computed with PBE.

Cell and atoms, written as POSCAR:
```
AlInSb2
1.0
4.299 0.000 0.000
-2.150 3.723 0.000
0.000 0.000 20.347
Al In Sb
3 3 6
Direct
0.000 0.000 0.000
0.333 0.667 0.667
0.667 0.333 0.333
0.000 0.000 0.168
0.333 0.667 0.835
0.667 0.333 0.501
0.000 0.000 0.407
0.000 0.000 0.596
0.333 0.667 0.073
0.333 0.667 0.263
0.667 0.333 0.740
0.667 0.333 0.929
```

ΔE_f (raw) = 0.062 eV per atom
energy above the lowest structure with this stoichiometry = 0.204 eV/atom
space-group type = R3m
ρ = 5.89 Mg/m³


No. 3
Crystalline Al2InSb2 at its relaxed geometry, computed with PBE.

Cell and atoms, written as POSCAR:
```
Al2InSb2
1.0
8.558 0.000 0.000
0.000 8.558 0.000
0.000 0.000 3.365
Al In Sb
4 2 4
Direct
0.136 0.364 0.000
0.364 0.864 0.000
0.636 0.136 0.000
0.864 0.636 0.000
0.000 0.000 0.500
0.500 0.500 0.500
0.159 0.659 0.500
0.341 0.159 0.500
0.659 0.841 0.500
0.841 0.341 0.500
```

ΔE_f (raw) = 0.165 eV per atom
energy above the lowest structure with this stoichiometry = 0.122 eV/atom
space-group type = P4/mbm
ρ = 5.56 Mg/m³


No. 4
Crystalline AlInSb2 at its relaxed geometry, computed with PBE.

Cell and atoms, written as POSCAR:
```
AlInSb2
1.0
4.545 0.000 0.000
-2.272 3.936 0.000
0.000 0.000 22.254
Al In Sb
3 3 6
Direct
0.000 0.000 0.000
0.333 0.667 0.667
0.667 0.333 0.333
0.000 0.000 0.499
0.333 0.667 0.166
0.667 0.333 0.832
0.000 0.000 0.370
0.000 0.000 0.879
0.333 0.667 0.037
0.333 0.667 0.546
0.667 0.333 0.212
0.667 0.333 0.704
```

ΔE_f (raw) = -0.122 eV per atom
energy above the lowest structure with this stoichiometry = 0.020 eV/atom
space-group type = R3m
ρ = 4.82 Mg/m³


No. 5
Crystalline AlInSb at its relaxed geometry, computed with PBE.

Cell and atoms, written as POSCAR:
```
AlInSb
1.0
5.132 0.000 0.000
-2.566 4.444 0.000
0.000 0.000 3.240
Al In Sb
1 1 1
Direct
0.000 0.000 0.000
0.667 0.333 0.507
0.333 0.667 0.012
```

ΔE_f (raw) = 0.165 eV per atom
energy above the lowest structure with this stoichiometry = 0.101 eV/atom
space-group type = P3m1
ρ = 5.92 Mg/m³


No. 6
Crystalline AlInSb at its relaxed geometry, computed with PBE.

Cell and atoms, written as POSCAR:
```
AlInSb
1.0
3.472 0.000 0.000
0.000 3.472 0.000
0.000 0.000 12.170
Al In Sb
2 2 2
Direct
0.000 0.000 0.000
0.500 0.500 0.500
0.000 0.000 0.342
0.500 0.500 0.842
0.000 0.000 0.641
0.500 0.500 0.141
```

ΔE_f (raw) = 0.147 eV per atom
energy above the lowest structure with this stoichiometry = 0.083 eV/atom
space-group type = I4mm
ρ = 5.97 Mg/m³


E_tot for every record listed, in sequence, given in eV/atom: -3.5388 -3.6192 -3.5287 -3.8034 -3.3691 -3.3874.